[1]
Density functional theory data (GGA-PBE) for an optimized crystal structure of MnFeTeN2.

abc: 3.696 3.696 5.454
angles: 90.00 90.00 90.00
Site moments in Bohr magnetons follow the coordinates.
Positions (direct):
1 Fe 0.000 0.000 0.000  0.02
2 Mn 0.500 0.500 0.500  3.94
3 N 0.000 0.500 0.000  -0.09
4 N 0.500 0.000 0.000  -0.09
5 Te 0.000 0.000 0.500  -0.01

## Properties
formation energy from raw total energies: 4.4 eV per formula unit
ΔE to the lowest computed polymorph: 57.9 meV/atom
SG: P4/mmm, No. 123



[2]
Density functional theory data (GGA-PBE) for an optimized crystal structure of Sr2RhI.

abc: 3.802 3.802 8.406
angles: 90.00 90.00 90.00
Positions (direct):
1 Sr 0.000 0.000 0.794
2 Sr 0.000 0.000 0.206
3 I 0.500 0.500 0.500
4 Rh 0.500 0.500 0.000

## Properties
formation energy from raw total energies: -2.8 eV per formula unit
ΔE to the lowest computed polymorph: 36.1 meV/atom
SG: P4/mmm, No. 123



[3]
Density functional theory data (GGA-PBE) for an optimized crystal structure of La4Pm2Nd2Dy.

abc: 5.224 8.256 8.226
angles: 107.68 90.00 108.44
Positions (direct):
1 Pm 0.889 0.777 0.330
2 Pm 0.111 0.223 0.670
3 Nd 0.666 0.332 0.001
4 Nd 0.334 0.668 0.999
5 Dy 0.000 0.000 0.000
6 La 0.445 0.891 0.668
7 La 0.222 0.445 0.332
8 La 0.778 0.555 0.668
9 La 0.555 0.109 0.332

## Properties
SG: C2/m, No. 12
energy relative to the elements: 0.018 eV/atom



[4]
Density functional theory data (GGA-PBE) for an optimized crystal structure of NbSI2.

abc: 10.608 10.608 7.863
angles: 47.58 47.58 90.00
Site moments in Bohr magnetons follow the coordinates.
Positions (direct):
1 Nb 0.750 0.250 0.500  0.98
2 Nb 0.000 0.000 0.000  0.98
3 I 0.974 0.625 0.250  -0.03
4 I 0.375 0.224 0.750  -0.02
5 I 0.875 0.026 0.750  -0.03
6 I 0.776 0.125 0.250  -0.02
7 S 0.250 0.750 0.500  -0.09
8 S 0.500 0.500 0.000  -0.09

## Properties
formation energy from raw total energies: -1.3 eV per formula unit
ΔE to the lowest computed polymorph: 203.1 meV/atom
SG: I-42d, No. 122



[5]
Density functional theory data (GGA-PBE) for an optimized crystal structure of Li2HfSb2.

abc: 3.696 3.696 7.990
angles: 76.63 76.63 90.00
Positions (direct):
1 Li 0.750 0.250 0.500
2 Li 0.250 0.750 0.500
3 Sb 0.610 0.610 0.781
4 Sb 0.390 0.390 0.219
5 Hf 0.000 0.000 0.000

## Properties
formation energy from raw total energies: -1.7 eV per formula unit
SG: I4/mmm, No. 139



[6]
Density functional theory data (GGA-PBE) for an optimized crystal structure of LaPr2Th3Sb6.

abc: 7.864 7.864 7.866
angles: 99.60 99.60 119.91
Positions (direct):
1 Pr 0.667 0.333 0.000
2 Pr 0.333 0.667 0.000
3 Sb 0.250 0.250 0.746
4 Sb 0.750 0.750 0.254
5 Sb 0.915 0.581 0.745
6 Sb 0.085 0.419 0.255
7 Sb 0.581 0.915 0.745
8 Sb 0.419 0.085 0.255
9 Th 0.500 0.500 0.500
10 Th 0.166 0.834 0.500
11 Th 0.834 0.166 0.500
12 La 0.000 0.000 0.000

## Properties
formation energy from raw total energies: -13.0 eV per formula unit
SG: C2/m, No. 12



Short version: total DFT energy (no corrections) = -6.612, -3.763, -4.799, -4.641, -4.737, -6.203 eV per atom, in the order given.